A relaxed structure of LaCd2Au, computed with PBE.

* energy: -11.5 eV/cell

abc: 5.054 3.875 5.426
angles: 78.10 90.00 90.00
Sites, in units of the cell vectors:
La 0.500 0.250 0.250
Cd 0.000 0.888 0.975
Cd 0.000 0.612 0.525
Au 0.500 0.750 0.750